No. 1
# LiNi3Mo

A relaxed LiNi3Mo crystal (GGA-PBE, Alexandria).

Values from the calculation:
DOS(E_F): 0.78 states/eV per atom
E: -5.2929 eV/atom
E above lowest polymorph: 0 meV per atom

```
data_LiNi3Mo
_cell_length_a 3.914
_cell_length_b 3.914
_cell_length_c 3.914
_cell_angle_alpha 90.00
_cell_angle_beta 90.00
_cell_angle_gamma 90.00
_symmetry_space_group_name_H-M 'P 1'
_symmetry_Int_Tables_number 1
_symmetry_space_group_name_Hall 'P 1'
loop_
_atom_site_label
_atom_site_type_symbol
_atom_site_fract_x
_atom_site_fract_y
_atom_site_fract_z
Li1 Li 0.000 0.000 0.000
Ni1 Ni 0.000 0.000 0.500
Ni2 Ni 0.000 0.500 0.000
Ni3 Ni 0.500 0.000 0.000
Mo1 Mo 0.500 0.500 0.500
```


No. 2
# LiNiMo2

A relaxed LiNiMo2 crystal (GGA-PBE, Alexandria).

Values from the calculation:
DOS(E_F): 1.22 states/eV per atom
E: -7.0487 eV/atom
E above lowest polymorph: 137 meV per atom

```
data_LiNiMo2
_cell_length_a 9.296
_cell_length_b 9.296
_cell_length_c 9.296
_cell_angle_alpha 16.80
_cell_angle_beta 16.80
_cell_angle_gamma 16.80
_symmetry_space_group_name_H-M 'P 1'
_symmetry_Int_Tables_number 1
_symmetry_space_group_name_Hall 'P 1'
loop_
_atom_site_label
_atom_site_type_symbol
_atom_site_fract_x
_atom_site_fract_y
_atom_site_fract_z
Li1 Li 0.000 0.000 0.000
Ni1 Ni 0.744 0.744 0.744
Mo1 Mo 0.242 0.242 0.242
Mo2 Mo 0.487 0.487 0.487
```


No. 3
# LiNiMo2

A relaxed LiNiMo2 crystal (GGA-PBE, Alexandria).

Values from the calculation:
DOS(E_F): 0.80 states/eV per atom
E: -7.0252 eV/atom
E above lowest polymorph: 160 meV per atom

```
data_LiNiMo2
_cell_length_a 9.554
_cell_length_b 9.554
_cell_length_c 9.554
_cell_angle_alpha 16.10
_cell_angle_beta 16.10
_cell_angle_gamma 16.10
_symmetry_space_group_name_H-M 'P 1'
_symmetry_Int_Tables_number 1
_symmetry_space_group_name_Hall 'P 1'
loop_
_atom_site_label
_atom_site_type_symbol
_atom_site_fract_x
_atom_site_fract_y
_atom_site_fract_z
Li1 Li 0.000 0.000 0.000
Ni1 Ni 0.500 0.500 0.500
Mo1 Mo 0.243 0.243 0.243
Mo2 Mo 0.757 0.757 0.757
```


No. 4
# LiNiMo2

A relaxed LiNiMo2 crystal (GGA-PBE, Alexandria).

Values from the calculation:
DOS(E_F): 0.99 states/eV per atom
E: -7.0754 eV/atom
E above lowest polymorph: 110 meV per atom

```
data_LiNiMo2
_cell_length_a 3.142
_cell_length_b 4.062
_cell_length_c 4.321
_cell_angle_alpha 90.00
_cell_angle_beta 90.00
_cell_angle_gamma 90.00
_symmetry_space_group_name_H-M 'P 1'
_symmetry_Int_Tables_number 1
_symmetry_space_group_name_Hall 'P 1'
loop_
_atom_site_label
_atom_site_type_symbol
_atom_site_fract_x
_atom_site_fract_y
_atom_site_fract_z
Li1 Li 0.000 0.000 0.000
Ni1 Ni 0.500 0.500 0.000
Mo1 Mo 0.000 0.500 0.500
Mo2 Mo 0.500 0.000 0.500
```


No. 5
# LiNiMo2

A relaxed LiNiMo2 crystal (GGA-PBE, Alexandria).

Values from the calculation:
DOS(E_F): 0.67 states/eV per atom
E: -6.9441 eV/atom
E above lowest polymorph: 241 meV per atom

```
data_LiNiMo2
_cell_length_a 3.287
_cell_length_b 3.287
_cell_length_c 5.094
_cell_angle_alpha 90.00
_cell_angle_beta 90.00
_cell_angle_gamma 90.00
_symmetry_space_group_name_H-M 'P 1'
_symmetry_Int_Tables_number 1
_symmetry_space_group_name_Hall 'P 1'
loop_
_atom_site_label
_atom_site_type_symbol
_atom_site_fract_x
_atom_site_fract_y
_atom_site_fract_z
Li1 Li 0.000 0.000 0.000
Ni1 Ni 0.000 0.000 0.500
Mo1 Mo 0.500 0.500 0.266
Mo2 Mo 0.500 0.500 0.734
```


No. 6
# LiNiMo2

A relaxed LiNiMo2 crystal (GGA-PBE, Alexandria).

Values from the calculation:
DOS(E_F): 0.89 states/eV per atom
E: -7.0860 eV/atom
E above lowest polymorph: 99 meV per atom

```
data_LiNiMo2
_cell_length_a 4.994
_cell_length_b 4.994
_cell_length_c 2.589
_cell_angle_alpha 96.59
_cell_angle_beta 96.59
_cell_angle_gamma 118.53
_symmetry_space_group_name_H-M 'P 1'
_symmetry_Int_Tables_number 1
_symmetry_space_group_name_Hall 'P 1'
loop_
_atom_site_label
_atom_site_type_symbol
_atom_site_fract_x
_atom_site_fract_y
_atom_site_fract_z
Li1 Li 0.000 0.000 0.000
Ni1 Ni 0.500 0.500 0.000
Mo1 Mo 0.000 0.500 0.500
Mo2 Mo 0.500 0.000 0.500
```


No. 7
# Li4NiMo

A relaxed Li4NiMo crystal (GGA-PBE, Alexandria).

Values from the calculation:
DOS(E_F): 1.06 states/eV per atom
E: -3.5145 eV/atom

```
data_Li4NiMo
_cell_length_a 4.798
_cell_length_b 4.798
_cell_length_c 4.798
_cell_angle_alpha 60.00
_cell_angle_beta 60.00
_cell_angle_gamma 60.00
_symmetry_space_group_name_H-M 'P 1'
_symmetry_Int_Tables_number 1
_symmetry_space_group_name_Hall 'P 1'
loop_
_atom_site_label
_atom_site_type_symbol
_atom_site_fract_x
_atom_site_fract_y
_atom_site_fract_z
Li1 Li 0.376 0.376 0.376
Li2 Li 0.376 0.376 0.872
Li3 Li 0.376 0.872 0.376
Li4 Li 0.872 0.376 0.376
Ni1 Ni 0.750 0.750 0.750
Mo1 Mo 0.000 0.000 0.000
```


No. 8
# LiNi2Mo

A relaxed LiNi2Mo crystal (GGA-PBE, Alexandria).

Values from the calculation:
DOS(E_F): 1.37 states/eV per atom
E: -5.9469 eV/atom
E above lowest polymorph: 115 meV per atom

```
data_LiNi2Mo
_cell_length_a 4.123
_cell_length_b 4.123
_cell_length_c 4.123
_cell_angle_alpha 60.00
_cell_angle_beta 60.00
_cell_angle_gamma 60.00
_symmetry_space_group_name_H-M 'P 1'
_symmetry_Int_Tables_number 1
_symmetry_space_group_name_Hall 'P 1'
loop_
_atom_site_label
_atom_site_type_symbol
_atom_site_fract_x
_atom_site_fract_y
_atom_site_fract_z
Li1 Li 0.000 0.000 0.000
Ni1 Ni 0.250 0.250 0.250
Ni2 Ni 0.750 0.750 0.750
Mo1 Mo 0.500 0.500 0.500
```